Density functional theory data (PBE) for crystalline Ba2CrTc at its relaxed geometry.

Computed properties:
As for the space-group type: P2/m (10). As for the energy above the lowest structure with this stoichiometry: 673 meV/atom. As for the calculated formation energy: 1.128 eV/atom. The calculated volume is 127.2 Å³/f.u. The density of states at the Fermi level comes out at 4.598 states/eV per cell. The total energy is -19.32 eV per cell.

a b c (Å): 3.711 3.723 9.933
angles (deg): 67.94 90.00 90.00
Element x y z (fractional)
1 Ba 0.000 0.023 0.976
2 Ba 0.000 0.477 0.524
3 Cr 0.500 0.250 0.250
4 Tc 0.500 0.750 0.750

Density functional theory data (PBE) for crystalline Ba2CrTc at its relaxed geometry.

Computed properties:
As for the space-group type: I-42d (122). As for the energy above the lowest structure with this stoichiometry: 374 meV/atom. As for the calculated formation energy: 0.829 eV/atom. The calculated volume is 167.2 Å³/f.u. The density of states at the Fermi level comes out at 6.552 states/eV per cell. The total energy is -41.04 eV per cell.

a b c (Å): 12.005 12.005 8.800
angles (deg): 46.99 46.99 90.00
Element x y z (fractional)
1 Cr 0.500 0.500 0.000
2 Cr 0.250 0.750 0.500
3 Ba 0.820 0.125 0.250
4 Ba 0.930 0.625 0.250
5 Ba 0.375 0.180 0.750
6 Ba 0.875 0.070 0.750
7 Tc 0.000 0.000 0.000
8 Tc 0.750 0.250 0.500

Density functional theory data (PBE) for crystalline BaCr3Tc at its relaxed geometry.

Computed properties:
As for the space-group type: Pm-3m (221). As for the energy above the lowest structure with this stoichiometry: 0 meV/atom. As for the calculated formation energy: 0.942 eV/atom. The calculated volume is 115.6 Å³/f.u. The density of states at the Fermi level comes out at 4.420 states/eV per cell. The total energy is -36.45 eV per cell.

a b c (Å): 4.872 4.872 4.872
angles (deg): 90.00 90.00 90.00
Element x y z (fractional)
1 Cr 0.000 0.500 0.000
2 Cr 0.000 0.000 0.500
3 Cr 0.500 0.000 0.000
4 Ba 0.500 0.500 0.500
5 Tc 0.000 0.000 0.000

Q: Among the records above, which one has the lowest energy above the lowest structure with this stoichiometry?
A: BaCr3Tc

Q: The lowest calculated volume belongs to which entry?
A: BaCr3Tc

Q: Which formula does entry 3 have?
A: BaCr3Tc